i) # Ba4PdPt, optimized geometry, DFT GGA-PBE
data_Ba4PdPt
_chemical_formula_sum 'Ba8 Pd2 Pt2'
_space_group_name_H-M_alt 'P 1'
_space_group_IT_number 1
_space_group_name_Hall 'P 1'
_cell_length_a 16.996
_cell_length_b 4.637
_cell_length_c 8.044
_cell_angle_alpha 90.00
_cell_angle_beta 118.22
_cell_angle_gamma 90.00
loop_
_atom_site_label
_atom_site_type_symbol
_atom_site_fract_x
_atom_site_fract_y
_atom_site_fract_z
Ba1 Ba 0.114 0.000 0.277
Ba2 Ba 0.114 0.500 0.785
Ba3 Ba 0.386 0.000 0.215
Ba4 Ba 0.386 0.500 0.723
Ba5 Ba 0.614 0.000 0.785
Ba6 Ba 0.614 0.500 0.277
Ba7 Ba 0.886 0.000 0.723
Ba8 Ba 0.886 0.500 0.215
Pd1 Pd 0.000 0.000 0.500
Pd2 Pd 0.500 0.500 0.500
Pt1 Pt 0.000 0.500 0.000
Pt2 Pt 0.500 0.000 0.000
# DOS at the Fermi energy ... 2.4 states/eV/f.u.
# Size of the total moment ... 0.000 μB/f.u.


ii) # Ba4PdPt, optimized geometry, DFT GGA-PBE
data_Ba4PdPt
_chemical_formula_sum 'Ba8 Pd2 Pt2'
_space_group_name_H-M_alt 'P 1'
_space_group_IT_number 1
_space_group_name_Hall 'P 1'
_cell_length_a 10.245
_cell_length_b 10.245
_cell_length_c 7.955
_cell_angle_alpha 105.53
_cell_angle_beta 105.53
_cell_angle_gamma 125.74
loop_
_atom_site_label
_atom_site_type_symbol
_atom_site_fract_x
_atom_site_fract_y
_atom_site_fract_z
Ba1 Ba 0.063 0.431 0.750
Ba2 Ba 0.193 0.298 0.245
Ba3 Ba 0.298 0.193 0.745
Ba4 Ba 0.431 0.063 0.250
Ba5 Ba 0.569 0.937 0.750
Ba6 Ba 0.702 0.807 0.255
Ba7 Ba 0.807 0.702 0.755
Ba8 Ba 0.937 0.569 0.250
Pd1 Pd 0.428 0.572 0.750
Pd2 Pd 0.572 0.428 0.250
Pt1 Pt 0.071 0.929 0.250
Pt2 Pt 0.929 0.071 0.750
# DOS at the Fermi energy ... 3.8 states/eV/f.u.
# Size of the total moment ... 0.001 μB/f.u.


Stability, descending: i), ii)


i) # BaPdPt, optimized geometry, DFT GGA-PBE
data_BaPdPt
_chemical_formula_sum 'Ba1 Pd1 Pt1'
_space_group_name_H-M_alt 'P 1'
_space_group_IT_number 1
_space_group_name_Hall 'P 1'
_cell_length_a 4.490
_cell_length_b 4.490
_cell_length_c 4.573
_cell_angle_alpha 90.00
_cell_angle_beta 90.00
_cell_angle_gamma 120.00
loop_
_atom_site_label
_atom_site_type_symbol
_atom_site_fract_x
_atom_site_fract_y
_atom_site_fract_z
Ba1 Ba 0.000 0.000 0.000
Pd1 Pd 0.333 0.667 0.500
Pt1 Pt 0.667 0.333 0.500
# DOS at the Fermi energy ... 0.6 states/eV/f.u.
# Size of the total moment ... 0.000 μB/f.u.


ii) # BaPdPt, optimized geometry, DFT GGA-PBE
data_BaPdPt
_chemical_formula_sum 'Ba4 Pd4 Pt4'
_space_group_name_H-M_alt 'P 1'
_space_group_IT_number 1
_space_group_name_Hall 'P 1'
_cell_length_a 6.581
_cell_length_b 6.492
_cell_length_c 8.215
_cell_angle_alpha 90.00
_cell_angle_beta 119.75
_cell_angle_gamma 90.00
loop_
_atom_site_label
_atom_site_type_symbol
_atom_site_fract_x
_atom_site_fract_y
_atom_site_fract_z
Ba1 Ba 0.207 0.122 0.397
Ba2 Ba 0.207 0.378 0.897
Ba3 Ba 0.793 0.622 0.103
Ba4 Ba 0.793 0.878 0.603
Pd1 Pd 0.211 0.623 0.559
Pd2 Pd 0.211 0.877 0.059
Pd3 Pd 0.789 0.123 0.941
Pd4 Pd 0.789 0.377 0.441
Pt1 Pt 0.381 0.592 0.323
Pt2 Pt 0.381 0.908 0.823
Pt3 Pt 0.619 0.092 0.177
Pt4 Pt 0.619 0.408 0.677
# DOS at the Fermi energy ... 2.5 states/eV/f.u.
# Size of the total moment ... 0.000 μB/f.u.


iii) # BaPdPt, optimized geometry, DFT GGA-PBE
data_BaPdPt
_chemical_formula_sum 'Ba4 Pd4 Pt4'
_space_group_name_H-M_alt 'P 1'
_space_group_IT_number 1
_space_group_name_Hall 'P 1'
_cell_length_a 5.648
_cell_length_b 5.787
_cell_length_c 8.095
_cell_angle_alpha 90.00
_cell_angle_beta 90.00
_cell_angle_gamma 90.00
loop_
_atom_site_label
_atom_site_type_symbol
_atom_site_fract_x
_atom_site_fract_y
_atom_site_fract_z
Ba1 Ba 0.000 0.250 0.123
Ba2 Ba 0.000 0.750 0.877
Ba3 Ba 0.500 0.250 0.377
Ba4 Ba 0.500 0.750 0.623
Pd1 Pd 0.000 0.000 0.500
Pd2 Pd 0.000 0.500 0.500
Pd3 Pd 0.500 0.000 0.000
Pd4 Pd 0.500 0.500 0.000
Pt1 Pt 0.250 0.250 0.750
Pt2 Pt 0.250 0.750 0.250
Pt3 Pt 0.750 0.250 0.750
Pt4 Pt 0.750 0.750 0.250
# DOS at the Fermi energy ... 0.6 states/eV/f.u.
# Size of the total moment ... 0.000 μB/f.u.


Stability, descending: iii), i), ii)


i) # Ba2Pd2Pt, optimized geometry, DFT GGA-PBE
data_Ba2Pd2Pt
_chemical_formula_sum 'Ba4 Pd4 Pt2'
_space_group_name_H-M_alt 'P 1'
_space_group_IT_number 1
_space_group_name_Hall 'P 1'
_cell_length_a 5.801
_cell_length_b 5.801
_cell_length_c 8.947
_cell_angle_alpha 100.73
_cell_angle_beta 100.73
_cell_angle_gamma 62.72
loop_
_atom_site_label
_atom_site_type_symbol
_atom_site_fract_x
_atom_site_fract_y
_atom_site_fract_z
Ba1 Ba 0.023 0.282 0.156
Ba2 Ba 0.282 0.023 0.656
Ba3 Ba 0.718 0.977 0.344
Ba4 Ba 0.977 0.718 0.844
Pd1 Pd 0.250 0.501 0.498
Pd2 Pd 0.499 0.750 0.002
Pd3 Pd 0.501 0.250 0.998
Pd4 Pd 0.750 0.499 0.502
Pt1 Pt 0.358 0.642 0.250
Pt2 Pt 0.642 0.358 0.750
# DOS at the Fermi energy ... 2.2 states/eV/f.u.
# Size of the total moment ... 0.000 μB/f.u.


ii) # Ba2Pd2Pt, optimized geometry, DFT GGA-PBE
data_Ba2Pd2Pt
_chemical_formula_sum 'Ba4 Pd4 Pt2'
_space_group_name_H-M_alt 'P 1'
_space_group_IT_number 1
_space_group_name_Hall 'P 1'
_cell_length_a 4.824
_cell_length_b 5.661
_cell_length_c 9.580
_cell_angle_alpha 90.00
_cell_angle_beta 90.00
_cell_angle_gamma 90.00
loop_
_atom_site_label
_atom_site_type_symbol
_atom_site_fract_x
_atom_site_fract_y
_atom_site_fract_z
Ba1 Ba 0.000 0.000 0.194
Ba2 Ba 0.000 0.000 0.806
Ba3 Ba 0.500 0.500 0.306
Ba4 Ba 0.500 0.500 0.694
Pd1 Pd 0.000 0.249 0.500
Pd2 Pd 0.000 0.751 0.500
Pd3 Pd 0.500 0.251 0.000
Pd4 Pd 0.500 0.749 0.000
Pt1 Pt 0.000 0.500 0.000
Pt2 Pt 0.500 0.000 0.500
# DOS at the Fermi energy ... 1.8 states/eV/f.u.
# Size of the total moment ... 0.000 μB/f.u.


iii) # Ba2Pd2Pt, optimized geometry, DFT GGA-PBE
data_Ba2Pd2Pt
_chemical_formula_sum 'Ba4 Pd4 Pt2'
_space_group_name_H-M_alt 'P 1'
_space_group_IT_number 1
_space_group_name_Hall 'P 1'
_cell_length_a 7.554
_cell_length_b 7.554
_cell_length_c 4.586
_cell_angle_alpha 90.00
_cell_angle_beta 90.00
_cell_angle_gamma 90.00
loop_
_atom_site_label
_atom_site_type_symbol
_atom_site_fract_x
_atom_site_fract_y
_atom_site_fract_z
Ba1 Ba 0.182 0.318 0.000
Ba2 Ba 0.318 0.818 0.000
Ba3 Ba 0.682 0.182 0.000
Ba4 Ba 0.818 0.682 0.000
Pd1 Pd 0.131 0.631 0.500
Pd2 Pd 0.369 0.131 0.500
Pd3 Pd 0.631 0.869 0.500
Pd4 Pd 0.869 0.369 0.500
Pt1 Pt 0.000 0.000 0.500
Pt2 Pt 0.500 0.500 0.500
# DOS at the Fermi energy ... 1.0 states/eV/f.u.
# Size of the total moment ... 0.000 μB/f.u.


iv) # Ba2Pd2Pt, optimized geometry, DFT GGA-PBE
data_Ba2Pd2Pt
_chemical_formula_sum 'Ba4 Pd4 Pt2'
_space_group_name_H-M_alt 'P 1'
_space_group_IT_number 1
_space_group_name_Hall 'P 1'
_cell_length_a 3.890
_cell_length_b 3.890
_cell_length_c 18.023
_cell_angle_alpha 90.00
_cell_angle_beta 90.00
_cell_angle_gamma 90.00
loop_
_atom_site_label
_atom_site_type_symbol
_atom_site_fract_x
_atom_site_fract_y
_atom_site_fract_z
Ba1 Ba 0.000 0.000 0.105
Ba2 Ba 0.000 0.000 0.895
Ba3 Ba 0.500 0.500 0.395
Ba4 Ba 0.500 0.500 0.605
Pd1 Pd 0.000 0.500 0.250
Pd2 Pd 0.000 0.500 0.750
Pd3 Pd 0.500 0.000 0.250
Pd4 Pd 0.500 0.000 0.750
Pt1 Pt 0.000 0.000 0.500
Pt2 Pt 0.500 0.500 0.000
# DOS at the Fermi energy ... 1.7 states/eV/f.u.
# Size of the total moment ... 0.000 μB/f.u.


Stability, descending: ii), i), iii), iv)


i) # BaPd3Pt, optimized geometry, DFT GGA-PBE
data_BaPd3Pt
_chemical_formula_sum 'Ba1 Pd3 Pt1'
_space_group_name_H-M_alt 'P 1'
_space_group_IT_number 1
_space_group_name_Hall 'P 1'
_cell_length_a 5.029
_cell_length_b 5.029
_cell_length_c 5.029
_cell_angle_alpha 90.00
_cell_angle_beta 90.00
_cell_angle_gamma 90.00
loop_
_atom_site_label
_atom_site_type_symbol
_atom_site_fract_x
_atom_site_fract_y
_atom_site_fract_z
Ba1 Ba 0.000 0.000 0.000
Pd1 Pd 0.000 0.500 0.500
Pd2 Pd 0.500 0.000 0.500
Pd3 Pd 0.500 0.500 0.000
Pt1 Pt 0.500 0.500 0.500
# DOS at the Fermi energy ... 7.1 states/eV/f.u.
# Size of the total moment ... 0.000 μB/f.u.


ii) # BaPd3Pt, optimized geometry, DFT GGA-PBE
data_BaPd3Pt
_chemical_formula_sum 'Ba1 Pd3 Pt1'
_space_group_name_H-M_alt 'P 1'
_space_group_IT_number 1
_space_group_name_Hall 'P 1'
_cell_length_a 5.229
_cell_length_b 5.229
_cell_length_c 5.229
_cell_angle_alpha 90.00
_cell_angle_beta 90.00
_cell_angle_gamma 90.00
loop_
_atom_site_label
_atom_site_type_symbol
_atom_site_fract_x
_atom_site_fract_y
_atom_site_fract_z
Ba1 Ba 0.000 0.000 0.000
Pd1 Pd 0.000 0.000 0.500
Pd2 Pd 0.000 0.500 0.000
Pd3 Pd 0.500 0.000 0.000
Pt1 Pt 0.500 0.500 0.500
# DOS at the Fermi energy ... 2.6 states/eV/f.u.
# Size of the total moment ... 0.000 μB/f.u.


iii) # BaPd3Pt, optimized geometry, DFT GGA-PBE
data_BaPd3Pt
_chemical_formula_sum 'Ba2 Pd6 Pt2'
_space_group_name_H-M_alt 'P 1'
_space_group_IT_number 1
_space_group_name_Hall 'P 1'
_cell_length_a 7.014
_cell_length_b 7.014
_cell_length_c 7.014
_cell_angle_alpha 134.66
_cell_angle_beta 99.32
_cell_angle_gamma 97.77
loop_
_atom_site_label
_atom_site_type_symbol
_atom_site_fract_x
_atom_site_fract_y
_atom_site_fract_z
Ba1 Ba 0.287 0.037 0.250
Ba2 Ba 0.713 0.963 0.750
Pd1 Pd 0.090 0.340 0.750
Pd2 Pd 0.241 0.000 0.741
Pd3 Pd 0.241 0.500 0.241
Pd4 Pd 0.759 0.000 0.259
Pd5 Pd 0.759 0.500 0.759
Pd6 Pd 0.910 0.660 0.250
Pt1 Pt 0.000 0.500 0.500
Pt2 Pt 0.500 0.500 0.000
# DOS at the Fermi energy ... 5.3 states/eV/f.u.
# Size of the total moment ... 0.000 μB/f.u.


Stability, descending: iii), i), ii)


i) # BaPd2Pt2, optimized geometry, DFT GGA-PBE
data_BaPd2Pt2
_chemical_formula_sum 'Ba2 Pd4 Pt4'
_space_group_name_H-M_alt 'P 1'
_space_group_IT_number 1
_space_group_name_Hall 'P 1'
_cell_length_a 10.885
_cell_length_b 10.885
_cell_length_c 10.885
_cell_angle_alpha 155.47
_cell_angle_beta 155.47
_cell_angle_gamma 34.96
loop_
_atom_site_label
_atom_site_type_symbol
_atom_site_fract_x
_atom_site_fract_y
_atom_site_fract_z
Ba1 Ba 0.122 0.122 0.000
Ba2 Ba 0.878 0.878 0.000
Pd1 Pd 0.000 0.500 0.500
Pd2 Pd 0.312 0.312 0.000
Pd3 Pd 0.500 0.000 0.500
Pd4 Pd 0.688 0.688 0.000
Pt1 Pt 0.250 0.750 0.500
Pt2 Pt 0.435 0.435 0.000
Pt3 Pt 0.565 0.565 0.000
Pt4 Pt 0.750 0.250 0.500
# DOS at the Fermi energy ... 5.7 states/eV/f.u.
# Size of the total moment ... 0.000 μB/f.u.


ii) # BaPd2Pt2, optimized geometry, DFT GGA-PBE
data_BaPd2Pt2
_chemical_formula_sum 'Ba2 Pd4 Pt4'
_space_group_name_H-M_alt 'P 1'
_space_group_IT_number 1
_space_group_name_Hall 'P 1'
_cell_length_a 8.019
_cell_length_b 8.019
_cell_length_c 3.036
_cell_angle_alpha 90.00
_cell_angle_beta 90.00
_cell_angle_gamma 90.00
loop_
_atom_site_label
_atom_site_type_symbol
_atom_site_fract_x
_atom_site_fract_y
_atom_site_fract_z
Ba1 Ba 0.000 0.000 0.000
Ba2 Ba 0.500 0.500 0.000
Pd1 Pd 0.176 0.324 0.500
Pd2 Pd 0.324 0.824 0.500
Pd3 Pd 0.676 0.176 0.500
Pd4 Pd 0.824 0.676 0.500
Pt1 Pt 0.122 0.622 0.000
Pt2 Pt 0.378 0.122 0.000
Pt3 Pt 0.622 0.878 0.000
Pt4 Pt 0.878 0.378 0.000
# DOS at the Fermi energy ... 5.1 states/eV/f.u.
# Size of the total moment ... 0.000 μB/f.u.


Stability, descending: i), ii)


i) # BaPd2Pt2, optimized geometry, DFT GGA-PBE
data_BaPd2Pt2
_chemical_formula_sum 'Ba2 Pd4 Pt4'
_space_group_name_H-M_alt 'P 1'
_space_group_IT_number 1
_space_group_name_Hall 'P 1'
_cell_length_a 4.531
_cell_length_b 4.531
_cell_length_c 10.723
_cell_angle_alpha 90.00
_cell_angle_beta 90.00
_cell_angle_gamma 90.00
loop_
_atom_site_label
_atom_site_type_symbol
_atom_site_fract_x
_atom_site_fract_y
_atom_site_fract_z
Ba1 Ba 0.000 0.000 0.000
Ba2 Ba 0.500 0.500 0.500
Pd1 Pd 0.000 0.500 0.250
Pd2 Pd 0.000 0.500 0.750
Pd3 Pd 0.500 0.000 0.250
Pd4 Pd 0.500 0.000 0.750
Pt1 Pt 0.000 0.000 0.383
Pt2 Pt 0.000 0.000 0.617
Pt3 Pt 0.500 0.500 0.117
Pt4 Pt 0.500 0.500 0.883
# DOS at the Fermi energy ... 5.9 states/eV/f.u.
# Size of the total moment ... 0.000 μB/f.u.


ii) # BaPd2Pt2, optimized geometry, DFT GGA-PBE
data_BaPd2Pt2
_chemical_formula_sum 'Ba2 Pd4 Pt4'
_space_group_name_H-M_alt 'P 1'
_space_group_IT_number 1
_space_group_name_Hall 'P 1'
_cell_length_a 8.055
_cell_length_b 8.055
_cell_length_c 3.001
_cell_angle_alpha 90.00
_cell_angle_beta 90.00
_cell_angle_gamma 90.00
loop_
_atom_site_label
_atom_site_type_symbol
_atom_site_fract_x
_atom_site_fract_y
_atom_site_fract_z
Ba1 Ba 0.000 0.000 0.000
Ba2 Ba 0.500 0.500 0.000
Pd1 Pd 0.125 0.375 0.000
Pd2 Pd 0.375 0.875 0.000
Pd3 Pd 0.625 0.125 0.000
Pd4 Pd 0.875 0.625 0.000
Pt1 Pt 0.172 0.672 0.500
Pt2 Pt 0.328 0.172 0.500
Pt3 Pt 0.672 0.828 0.500
Pt4 Pt 0.828 0.328 0.500
# DOS at the Fermi energy ... 6.7 states/eV/f.u.
# Size of the total moment ... 0.000 μB/f.u.


Stability, descending: i), ii)


i) # Ba3PdPt, optimized geometry, DFT GGA-PBE
data_Ba3PdPt
_chemical_formula_sum 'Ba6 Pd2 Pt2'
_space_group_name_H-M_alt 'P 1'
_space_group_IT_number 1
_space_group_name_Hall 'P 1'
_cell_length_a 4.525
_cell_length_b 7.906
_cell_length_c 11.833
_cell_angle_alpha 101.41
_cell_angle_beta 90.03
_cell_angle_gamma 106.62
loop_
_atom_site_label
_atom_site_type_symbol
_atom_site_fract_x
_atom_site_fract_y
_atom_site_fract_z
Ba1 Ba 0.111 0.223 0.235
Ba2 Ba 0.131 0.262 0.588
Ba3 Ba 0.361 0.723 0.099
Ba4 Ba 0.639 0.277 0.901
Ba5 Ba 0.869 0.738 0.412
Ba6 Ba 0.889 0.777 0.765
Pd1 Pd 0.483 0.965 0.613
Pd2 Pd 0.517 0.035 0.387
Pt1 Pt 0.262 0.523 0.833
Pt2 Pt 0.738 0.477 0.167
# DOS at the Fermi energy ... 2.5 states/eV/f.u.
# Size of the total moment ... 0.000 μB/f.u.


ii) # Ba3PdPt, optimized geometry, DFT GGA-PBE
data_Ba3PdPt
_chemical_formula_sum 'Ba3 Pd1 Pt1'
_space_group_name_H-M_alt 'P 1'
_space_group_IT_number 1
_space_group_name_Hall 'P 1'
_cell_length_a 6.064
_cell_length_b 6.064
_cell_length_c 6.064
_cell_angle_alpha 90.00
_cell_angle_beta 90.00
_cell_angle_gamma 90.00
loop_
_atom_site_label
_atom_site_type_symbol
_atom_site_fract_x
_atom_site_fract_y
_atom_site_fract_z
Ba1 Ba 0.000 0.000 0.500
Ba2 Ba 0.000 0.500 0.000
Ba3 Ba 0.500 0.000 0.000
Pd1 Pd 0.500 0.500 0.500
Pt1 Pt 0.000 0.000 0.000
# DOS at the Fermi energy ... 3.6 states/eV/f.u.
# Size of the total moment ... 0.000 μB/f.u.


Stability, descending: i), ii)


i) # Rb2BaPd2, optimized geometry, DFT GGA-PBE
data_Rb2BaPd2
_chemical_formula_sum 'Rb4 Ba2 Pd4'
_space_group_name_H-M_alt 'P 1'
_space_group_IT_number 1
_space_group_name_Hall 'P 1'
_cell_length_a 8.810
_cell_length_b 8.810
_cell_length_c 4.964
_cell_angle_alpha 90.00
_cell_angle_beta 90.00
_cell_angle_gamma 90.00
loop_
_atom_site_label
_atom_site_type_symbol
_atom_site_fract_x
_atom_site_fract_y
_atom_site_fract_z
Rb1 Rb 0.136 0.364 0.000
Rb2 Rb 0.364 0.864 0.000
Rb3 Rb 0.636 0.136 0.000
Rb4 Rb 0.864 0.636 0.000
Ba1 Ba 0.000 0.000 0.500
Ba2 Ba 0.500 0.500 0.500
Pd1 Pd 0.171 0.671 0.500
Pd2 Pd 0.329 0.171 0.500
Pd3 Pd 0.671 0.829 0.500
Pd4 Pd 0.829 0.329 0.500
# DOS at the Fermi energy ... 1.6 states/eV/f.u.
# Size of the total moment ... 0.000 μB/f.u.


ii) # Rb2BaPd2, optimized geometry, DFT GGA-PBE
data_Rb2BaPd2
_chemical_formula_sum 'Rb4 Ba2 Pd4'
_space_group_name_H-M_alt 'P 1'
_space_group_IT_number 1
_space_group_name_Hall 'P 1'
_cell_length_a 4.866
_cell_length_b 4.866
_cell_length_c 15.297
_cell_angle_alpha 90.00
_cell_angle_beta 90.00
_cell_angle_gamma 90.00
loop_
_atom_site_label
_atom_site_type_symbol
_atom_site_fract_x
_atom_site_fract_y
_atom_site_fract_z
Rb1 Rb 0.000 0.500 0.250
Rb2 Rb 0.000 0.500 0.750
Rb3 Rb 0.500 0.000 0.250
Rb4 Rb 0.500 0.000 0.750
Ba1 Ba 0.000 0.000 0.000
Ba2 Ba 0.500 0.500 0.500
Pd1 Pd 0.000 0.000 0.413
Pd2 Pd 0.000 0.000 0.587
Pd3 Pd 0.500 0.500 0.087
Pd4 Pd 0.500 0.500 0.913
# DOS at the Fermi energy ... 2.9 states/eV/f.u.
# Size of the total moment ... 0.000 μB/f.u.


Stability, descending: ii), i)